18
Lattice="-3.7127 4.5332 2.2084 -5.1690 -1.8693 -2.9996 -2.3449 -3.3336 4.7539" Properties=species:S:1:pos:R:3 comment="PBE Th2GaCo12P3, optimized geometry" magmom_total_mub_per_fu=7.475 e_tot_ev_per_atom=-6.652 formation_energy_ev_per_atom=-0.02 pbc="T T T"
P -1.8563 2.2666 1.1042
P -2.5845 -0.9347 -1.4998
P -1.1724 -1.6668 2.3770
Co -5.4643 -1.9878 3.9718
Co -8.0167 1.1438 0.8357
Co -6.5824 0.4001 4.7735
Co -4.2928 0.5562 4.0255
Co -6.1760 2.1056 2.6472
Co -6.9338 -1.2259 -0.0627
Co -3.9046 2.1819 1.8343
Co -4.6442 -1.0699 -0.8108
Co -3.2099 -1.8135 3.1271
Co -5.7623 1.3181 -0.0090
Co -5.0506 -2.7754 1.3155
Co -7.3220 -2.8516 2.1285
Th -3.9540 -0.2359 1.3957
Th -7.2726 -0.4339 2.5671
Ga 0.0000 0.0000 0.0000